# 1
Density functional theory data (GGA-PBE) for a relaxed Cu6SbPd12 crystal. Values from VASP.

The structure in Quantum ESPRESSO input format:
```
&SYSTEM
  ibrav = 0, nat = 19, ntyp = 3
/
ATOMIC_SPECIES
Pd 106.42 Pd.upf
Cu 63.55 Cu.upf
Sb 121.76 Sb.upf
CELL_PARAMETERS angstrom
-5.4771 3.9097 -0.8387
-0.3998 -3.0725 6.5656
0.0107 5.0538 5.2121
ATOMIC_POSITIONS angstrom
Pd -1.8187 1.6964 1.2978
Cu -3.5619 3.4211 2.4990
Sb 0.0000 0.0000 0.0000
Cu -0.5433 0.7509 7.2042
Pd -2.6796 5.0804 4.4176
Pd -3.1866 0.8107 6.5215
Pd -4.0474 4.1947 9.6413
Pd -5.1081 6.3315 8.2915
Pd -4.4354 6.7319 5.7249
Cu -2.3042 2.4699 8.4401
Pd -4.9436 2.5234 7.7430
Pd -1.6056 2.8738 5.8551
Pd -0.7581 -0.4404 2.6476
Cu -2.5050 1.2728 3.8594
Pd -0.9225 3.3677 3.1960
Cu -3.3611 4.6183 7.0797
Pd -1.4307 -0.8408 5.2141
Pd -4.2605 3.0173 5.0840
Cu -5.3229 5.1402 3.7348
```

Output
crystal system: trigonal
formation energy without anion corrections: -0.146 eV per atom
symmetry: R-3 (148)
relative energy among the computed polymorphs: 0.0000 eV/atom
DFT total energy: -4.94 eV per atom

=====

# 2
Density functional theory data (GGA-PBE) for a relaxed Cu2SbPd2 crystal. Values from VASP.

The structure in Quantum ESPRESSO input format:
```
&SYSTEM
  ibrav = 0, nat = 10, ntyp = 3
/
ATOMIC_SPECIES
Sb 121.76 Sb.upf
Cu 63.55 Cu.upf
Pd 106.42 Pd.upf
CELL_PARAMETERS angstrom
-0.4477 -5.7417 -3.4852
6.6503 -0.8688 0.5769
-0.4884 -1.7654 2.9712
ATOMIC_POSITIONS angstrom
Sb 0.0000 0.0000 0.0000
Cu 0.5774 -3.7248 -2.1183
Cu 5.6252 -2.8857 -0.7900
Sb 3.1013 -3.3053 -1.4541
Pd 0.7058 -2.9477 0.4148
Pd 4.1067 -2.4103 1.2931
Cu 3.7944 -5.5466 -2.6720
Pd 5.0084 -5.4282 -0.3518
Pd 1.6075 -5.9656 -1.2301
Cu 2.4082 -1.0639 -0.2363
```

Output
crystal system: tetragonal
formation energy without anion corrections: -0.096 eV per atom
symmetry: P4/mbm (127)
relative energy among the computed polymorphs: 0.1017 eV/atom
DFT total energy: -4.64 eV per atom

=====

# 3
Density functional theory data (GGA-PBE) for a relaxed CuSb2Pd2 crystal. Values from VASP.

The structure in Quantum ESPRESSO input format:
```
&SYSTEM
  ibrav = 0, nat = 10, ntyp = 3
/
ATOMIC_SPECIES
Sb 121.76 Sb.upf
Pd 106.42 Pd.upf
Cu 63.55 Cu.upf
CELL_PARAMETERS angstrom
-5.6189 1.8493 3.7463
2.9204 -2.7512 5.7384
1.6733 3.4543 0.8045
ATOMIC_POSITIONS angstrom
Sb -0.5628 1.8922 2.6043
Pd -3.1951 0.7958 3.2287
Pd 0.2397 -0.7180 2.5845
Cu -1.3492 -0.4509 4.7423
Sb -2.8765 2.3498 5.4516
Sb 1.8513 0.2027 4.8375
Pd 0.4967 -1.6976 6.2559
Pd -2.9382 -0.1838 6.9002
Sb -0.4624 0.6603 7.6848
Cu 0.0000 0.0000 0.0000
```

Output
crystal system: tetragonal
formation energy without anion corrections: -0.127 eV per atom
symmetry: P4/mbm (127)
relative energy among the computed polymorphs: 0.0000 eV/atom
DFT total energy: -4.67 eV per atom

=====

# 4
Density functional theory data (GGA-PBE) for a relaxed Cu2SbPd9 crystal. Values from VASP.

The structure in Quantum ESPRESSO input format:
```
&SYSTEM
  ibrav = 0, nat = 12, ntyp = 3
/
ATOMIC_SPECIES
Cu 63.55 Cu.upf
Pd 106.42 Pd.upf
Sb 121.76 Sb.upf
CELL_PARAMETERS angstrom
3.9761 0.0000 0.0000
0.0000 3.9761 0.0000
0.0000 0.0000 11.6565
ATOMIC_POSITIONS angstrom
Cu 0.0000 0.0000 3.9655
Pd 1.9881 0.0000 5.8282
Pd 0.0000 1.9881 5.8282
Pd 1.9881 1.9881 0.0000
Pd 0.0000 1.9881 2.0420
Cu 0.0000 0.0000 7.6909
Pd 1.9881 0.0000 9.6145
Pd 1.9881 1.9881 7.7155
Pd 1.9881 0.0000 2.0420
Pd 1.9881 1.9881 3.9409
Pd 0.0000 1.9881 9.6145
Sb 0.0000 0.0000 0.0000
```

Output
crystal system: tetragonal
formation energy without anion corrections: -0.161 eV per atom
symmetry: P4/mmm (123)
DFT total energy: -5.08 eV per atom

=====

# 5
Density functional theory data (GGA-PBE) for a relaxed CuSb2Pd8 crystal. Values from VASP.

The structure in Quantum ESPRESSO input format:
```
&SYSTEM
  ibrav = 0, nat = 11, ntyp = 3
/
ATOMIC_SPECIES
Pd 106.42 Pd.upf
Sb 121.76 Sb.upf
Cu 63.55 Cu.upf
CELL_PARAMETERS angstrom
-0.6442 3.3738 3.0185
-6.6596 -1.3987 -1.9186
3.2922 -4.8029 4.0101
ATOMIC_POSITIONS angstrom
Pd -2.1334 -2.3574 5.0231
Sb -3.5385 -2.4663 -0.0592
Cu -0.3221 1.6869 1.5093
Pd 0.8533 -2.3919 4.2583
Pd -4.3963 -1.5833 3.6750
Sb 0.1712 -3.7353 2.1508
Pd -1.7054 -0.0480 2.8351
Pd 0.3848 -1.2446 1.4351
Pd -4.8649 -0.4359 0.8518
Pd -1.8782 -0.4705 0.0870
Pd -2.3062 -2.7798 2.2750
```

Output
crystal system: monoclinic
formation energy without anion corrections: -0.204 eV per atom
symmetry: C2/m (12)
relative energy among the computed polymorphs: 0.1163 eV/atom
DFT total energy: -5.10 eV per atom

=====

# 6
Density functional theory data (GGA-PBE) for a relaxed Cu3SbPd crystal. Values from VASP.

The structure in Quantum ESPRESSO input format:
```
&SYSTEM
  ibrav = 0, nat = 5, ntyp = 3
/
ATOMIC_SPECIES
Cu 63.55 Cu.upf
Pd 106.42 Pd.upf
Sb 121.76 Sb.upf
CELL_PARAMETERS angstrom
4.6539 0.0000 0.0000
0.0000 4.6539 0.0000
0.0000 0.0000 4.6539
ATOMIC_POSITIONS angstrom
Cu 0.0000 0.0000 2.3270
Cu 0.0000 2.3270 0.0000
Pd 0.0000 0.0000 0.0000
Cu 2.3270 0.0000 0.0000
Sb 2.3270 2.3270 2.3270
```

Output
crystal system: cubic
formation energy without anion corrections: 0.713 eV per atom
symmetry: Pm-3m (221)
relative energy among the computed polymorphs: 0.0000 eV/atom
DFT total energy: -3.61 eV per atom